1.
A plane-wave DFT calculation with PBE was carried out for a relaxed HfZr2Sc crystal.

Summary:
Calculated total energy = -8.322 eV per atom
Formation energy from the elements = 0.02 eV/atom

abc: 10.5279 10.5279 10.5279
angles: 17.58 17.58 17.58
Closest atoms and distances in Å follow each position.
Fractional positions:
Hf (0.0000, 0.0000, 0.0000)  6 Zr 3.15-3.16, 6 Hf 3.22
Zr (0.4154, 0.4154, 0.4154)  3 Hf 3.16, 3 Sc 3.21, 6 Zr 3.22
Zr (0.5850, 0.5850, 0.5850)  3 Hf 3.15, 6 Zr 3.22, 3 Sc 3.24
Sc (0.8328, 0.8328, 0.8328)  6 Zr 3.21-3.24, 6 Sc 3.22


2.
A plane-wave DFT calculation with PBE was carried out for a relaxed Hf3Zr8Sc2 crystal.

Summary:
Calculated total energy = -8.279 eV per atom
Formation energy from the elements = 0.25 eV/atom

abc: 9.9680 9.9680 4.9579
angles: 90.02 90.02 39.81
Closest atoms and distances in Å follow each position.
Fractional positions:
Hf (0.0000, 0.0000, 0.0000)  4 Zr 2.77, 4 Hf 3.09
Hf (0.2715, 0.7285, 0.5000)  8 Zr 3.07-3.40, 3 Hf 3.09-3.10
Hf (0.7285, 0.2715, 0.5000)  8 Zr 3.07-3.40, 3 Hf 3.09-3.10
Zr (0.1310, 0.1310, 0.4998)  2 Hf 3.07, 4 Zr 3.21, 2 Sc 3.24
Zr (0.1866, 0.6052, 0.9999)  1 Hf 2.77, 3 Zr 2.84-3.05
Zr (0.3384, 0.3384, 0.4996)  4 Zr 3.05, 2 Sc 3.07, 2 Hf 3.40
Zr (0.3948, 0.8134, 0.0001)  1 Hf 2.77, 3 Zr 2.84-3.05
Zr (0.6052, 0.1866, 0.9999)  1 Hf 2.77, 3 Zr 2.84-3.05
Zr (0.6616, 0.6616, 0.5004)  4 Zr 3.05, 2 Sc 3.07, 2 Hf 3.40
Zr (0.8134, 0.3948, 0.0001)  1 Hf 2.77, 3 Zr 2.84-3.05
Zr (0.8690, 0.8690, 0.5002)  2 Hf 3.07, 4 Zr 3.21, 2 Sc 3.24
Sc (0.2422, 0.2422, 0.9995)  8 Zr 3.07-3.26, 2 Sc 3.41
Sc (0.7578, 0.7578, 0.0005)  8 Zr 3.07-3.26, 2 Sc 3.41